(1)
# Ce4OsSe2S

A relaxed Ce4OsSe2S crystal (PBE, Alexandria).

Computed properties:
For the total energy, the calculation gives -7.170 eV per atom. As for the size of the total moment: 3.0 μB/f.u. Its raw formation energy is -1412 meV per atom.

abc: 4.062 7.272 7.160
angles: 71.54 90.00 90.00
Last column: magnetic moment on the atom in μB.
Fractional positions:
Ce1 0.000 0.730 0.748  0.72
Ce2 0.000 0.270 0.252  0.72
Ce3 0.500 0.727 0.264  0.52
Ce4 0.500 0.273 0.736  0.52
Os1 0.000 0.500 0.500  -0.09
Se1 0.000 0.000 0.000  -0.02
Se2 0.500 0.000 0.500  -0.02
S1 0.500 0.500 0.000  -0.03

***

(2)
# Ce4SbOs

A relaxed Ce4SbOs crystal (PBE, Alexandria).

Computed properties:
For the total energy, the calculation gives -6.886 eV per atom. As for the size of the total moment: 2.2 μB/f.u. Its raw formation energy is -371 meV per atom.

abc: 5.582 7.517 8.389
angles: 105.61 109.43 90.00
Last column: magnetic moment on the atom in μB.
Fractional positions:
Ce1 0.511 0.027 0.844  0.49
Ce2 0.667 0.473 0.156  0.49
Ce3 0.489 0.973 0.156  0.49
Ce4 0.333 0.527 0.844  0.49
Ce5 0.985 0.869 0.652  0.44
Ce6 0.333 0.631 0.348  0.44
Ce7 0.015 0.131 0.348  0.44
Ce8 0.667 0.369 0.652  0.44
Sb1 0.912 0.750 0.000  -0.02
Sb2 0.088 0.250 0.000  -0.02
Os1 0.500 0.000 0.500  -0.06
Os2 0.000 0.500 0.500  -0.06

***

(3)
# Ce5Sb5Os

A relaxed Ce5Sb5Os crystal (PBE, Alexandria).

Computed properties:
For the total energy, the calculation gives -6.180 eV per atom. As for the size of the total moment: 1.0 μB/f.u. Its raw formation energy is -588 meV per atom.

abc: 6.195 7.620 8.617
angles: 107.77 90.00 113.98
Last column: magnetic moment on the atom in μB.
Fractional positions:
Ce1 0.851 0.703 0.149  0.10
Ce2 0.848 0.696 0.693  0.15
Ce3 0.500 0.000 0.000  0.45
Ce4 0.152 0.304 0.307  0.15
Ce5 0.149 0.297 0.851  0.10
Sb1 0.686 0.373 0.334  -0.02
Sb2 0.660 0.321 0.817  -0.01
Sb3 0.000 0.000 0.500  -0.01
Sb4 0.340 0.679 0.183  -0.01
Sb5 0.314 0.627 0.666  -0.02
Os1 0.000 0.000 0.000  -0.05

***

(4)
# Ce6SbOs

A relaxed Ce6SbOs crystal (PBE, Alexandria).

Computed properties:
For the total energy, the calculation gives -6.569 eV per atom. As for the size of the total moment: 3.7 μB/f.u. Its raw formation energy is -199 meV per atom.

abc: 6.210 6.210 6.287
angles: 101.27 101.27 101.23
Last column: magnetic moment on the atom in μB.
Fractional positions:
Ce1 0.183 0.183 0.592  0.48
Ce2 0.584 0.176 0.188  0.53
Ce3 0.817 0.817 0.408  0.48
Ce4 0.824 0.416 0.812  0.53
Ce5 0.416 0.824 0.812  0.53
Ce6 0.176 0.584 0.188  0.53
Sb1 0.000 0.000 0.000  -0.02
Os1 0.500 0.500 0.500  -0.05

***

(5)
# Ce8Sb2Os

A relaxed Ce8Sb2Os crystal (PBE, Alexandria).

Computed properties:
For the total energy, the calculation gives -6.442 eV per atom. As for the size of the total moment: 4.8 μB/f.u. Its raw formation energy is -356 meV per atom.

abc: 5.510 6.486 9.674
angles: 113.97 106.55 90.00
Last column: magnetic moment on the atom in μB.
Fractional positions:
Ce1 0.397 0.541 0.795  0.40
Ce2 0.637 0.947 0.274  0.39
Ce3 0.771 0.684 0.543  0.59
Ce4 0.003 0.223 0.005  0.66
Ce5 0.229 0.316 0.457  0.59
Ce6 0.363 0.053 0.726  0.39
Ce7 0.603 0.459 0.205  0.40
Ce8 0.997 0.777 0.995  0.66
Sb1 0.829 0.269 0.657  -0.01
Sb2 0.171 0.731 0.343  -0.01
Os1 0.500 0.000 0.000  -0.06

***

(6)
# Ce5SbOs2

A relaxed Ce5SbOs2 crystal (PBE, Alexandria).

Computed properties:
For the total energy, the calculation gives -7.454 eV per atom. As for the size of the total moment: 3.0 μB/f.u. Its raw formation energy is -422 meV per atom.

abc: 7.873 7.873 8.678
angles: 116.98 116.98 90.00
Last column: magnetic moment on the atom in μB.
Fractional positions:
Ce1 0.524 0.706 0.730  0.52
Ce2 0.794 0.976 0.270  0.52
Ce3 0.000 0.000 0.000  0.43
Ce4 0.500 0.500 0.000  0.43
Ce5 0.206 0.024 0.730  0.52
Ce6 0.706 0.206 0.730  0.52
Ce7 0.024 0.524 0.730  0.52
Ce8 0.294 0.794 0.270  0.52
Ce9 0.976 0.476 0.270  0.52
Ce10 0.476 0.294 0.270  0.52
Sb1 0.750 0.750 0.500  -0.02
Sb2 0.250 0.250 0.500  -0.02
Os1 0.141 0.359 0.000  -0.09
Os2 0.641 0.141 0.000  -0.09
Os3 0.359 0.859 0.000  -0.09
Os4 0.859 0.641 0.000  -0.09

***

What is the size of the total moment in the fifth record?
4.8 μB/f.u.